Computed, not measured: a relaxed structure of Ti7Co2Pt2 at the PBE level of DFT.

Values from the calculation:
Energy, eV per atom: -7.64
DOS(E_F), states/eV/atom: 1.38
Total moment, μB/f.u.: 0.0
SG: No. 65
E_form, kcal/mol of atoms: -5.1

a b c (Å): 5.7512 5.7512 5.8960
angles (deg): 90.00 90.00 105.52
Fractional coordinates of all 11 atoms:
Ti 0.0000 0.0000 0.0000
Ti 0.0000 0.5000 0.2537
Ti 0.0000 0.5000 0.7463
Ti 0.5000 0.0000 0.2537
Ti 0.5000 0.0000 0.7463
Ti 0.5000 0.5000 0.2468
Ti 0.5000 0.5000 0.7532
Co 0.2922 0.7078 0.0000
Co 0.7078 0.2922 0.0000
Pt 0.1917 0.1917 0.5000
Pt 0.8083 0.8083 0.5000

Computed, not measured: a relaxed structure of Cs2PaCdSe4 at the PBE level of DFT.

Values from the calculation:
Energy, eV per atom: -4.32
DOS(E_F), states/eV/atom: 0.11
Total moment, μB/f.u.: 1.0
SG: No. 70
Formation energy from raw total energies, eV/atom: -1.07

a b c (Å): 15.4071 13.7604 8.3991
angles (deg): 84.41 62.73 32.86
Fractional coordinates of all 16 atoms:
Cs 0.0548 0.0548 0.6952
Cs 0.3048 0.3048 0.9452
Cs 0.6952 0.6952 0.0548
Cs 0.9452 0.9452 0.3048
Pa 0.1250 0.1250 0.1250
Pa 0.8750 0.8750 0.8750
Cd 0.3750 0.3750 0.3750
Cd 0.6250 0.6250 0.6250
Se 0.0333 0.3244 0.4215
Se 0.2793 0.5785 0.6756
Se 0.3244 0.0333 0.7207
Se 0.4215 0.7207 0.0333
Se 0.5785 0.2793 0.9667
Se 0.6756 0.9667 0.2793
Se 0.7207 0.4215 0.3244
Se 0.9667 0.6756 0.5785

Computed, not measured: a relaxed structure of La2Be3AgPt4 at the PBE level of DFT.

Values from the calculation:
Energy, eV per atom: -5.56
DOS(E_F), states/eV/atom: 0.50
Total moment, μB/f.u.: 0.0
SG: No. 115
E_form, kcal/mol of atoms: -17.4

a b c (Å): 4.0975 4.0975 10.5705
angles (deg): 90.00 90.00 90.00
Fractional coordinates of all 10 atoms:
La 0.0000 0.5000 0.2417
La 0.5000 0.0000 0.7583
Be 0.0000 0.5000 0.8921
Be 0.5000 0.0000 0.1079
Be 0.5000 0.5000 0.5000
Ag 0.0000 0.0000 0.5000
Pt 0.0000 0.0000 0.0000
Pt 0.0000 0.5000 0.6684
Pt 0.5000 0.0000 0.3316
Pt 0.5000 0.5000 0.0000

Computed, not measured: a relaxed structure of TlRe2Ag at the PBE level of DFT.

Values from the calculation:
Energy, eV per atom: -6.62
E above lowest polymorph, eV per atom: 0.450
DOS(E_F), states/eV/atom: 0.87
Total moment, μB/f.u.: 0.0
SG: No. 12
E_form, kcal/mol of atoms: 21.0

a b c (Å): 5.1321 5.1321 4.9019
angles (deg): 100.52 100.52 33.16
Fractional coordinates of all 4 atoms:
Tl 0.0000 0.0000 0.0000
Re 0.2510 0.2510 0.7296
Re 0.7490 0.7490 0.2704
Ag 0.5000 0.5000 0.5000

Computed, not measured: a relaxed structure of La2ScIrO6 at the PBE level of DFT.

Values from the calculation:
Energy, eV per atom: -8.11
Total moment, μB/f.u.: 0.0
SG: No. 59
Formation energy from raw total energies, eV/atom: -2.63

a b c (Å): 5.6769 8.1210 5.7619
angles (deg): 90.00 90.00 90.00
Fractional coordinates of all 20 atoms:
La 0.2500 0.0236 0.2370
La 0.2500 0.4764 0.2370
La 0.7500 0.5236 0.7630
La 0.7500 0.9764 0.7630
Sc 0.2500 0.7500 0.7447
Sc 0.7500 0.2500 0.2553
Ir 0.2500 0.2500 0.7510
Ir 0.7500 0.7500 0.2490
O 0.0153 0.2500 0.0138
O 0.0171 0.2500 0.4864
O 0.2500 0.0010 0.7641
O 0.2500 0.4990 0.7641
O 0.4829 0.2500 0.4864
O 0.4847 0.2500 0.0138
O 0.5153 0.7500 0.9862
O 0.5171 0.7500 0.5136
O 0.7500 0.5010 0.2359
O 0.7500 0.9990 0.2359
O 0.9829 0.7500 0.5136
O 0.9847 0.7500 0.9862

Computed, not measured: a relaxed structure of SrZnBr2 at the PBE level of DFT.

Values from the calculation:
Energy, eV per atom: -2.90
E above lowest polymorph, eV per atom: 0.000
DOS(E_F), states/eV/atom: 0.00
Total moment, μB/f.u.: 0.0
SG: No. 12
Formation energy from raw total energies, eV/atom: -1.32

a b c (Å): 4.5862 4.5862 10.4283
angles (deg): 102.64 102.64 59.94
Fractional coordinates of all 4 atoms:
Sr 0.0000 0.0000 0.0000
Zn 0.5000 0.5000 0.5000
Br 0.2812 0.2812 0.8436
Br 0.7188 0.7188 0.1564

Computed, not measured: a relaxed structure of Li2YMg at the PBE level of DFT.

Values from the calculation:
Energy, eV per atom: -2.90
DOS(E_F), states/eV/atom: 0.85
Total moment, μB/f.u.: 0.0
SG: No. 6
E_form, kcal/mol of atoms: 1.7

a b c (Å): 3.2925 4.6496 6.4582
angles (deg): 90.00 104.65 90.00
Fractional coordinates of all 4 atoms:
Li 0.0000 0.0000 0.0000
Li 0.1227 0.5000 0.2323
Y 0.3729 0.5000 0.7432
Mg 0.7232 0.0000 0.4424

Computed, not measured: a relaxed structure of AlZn2Si2 at the PBE level of DFT.

Values from the calculation:
Energy, eV per atom: -3.13
DOS(E_F), states/eV/atom: 0.37
Total moment, μB/f.u.: 0.0
SG: No. 139
Formation energy from raw total energies, eV/atom: 0.30

a b c (Å): 7.2082 7.2082 7.2082
angles (deg): 151.71 151.71 40.44
Fractional coordinates of all 5 atoms:
Al 0.0000 0.0000 0.0000
Zn 0.4032 0.4032 0.0000
Zn 0.5968 0.5968 0.0000
Si 0.2500 0.7500 0.5000
Si 0.7500 0.2500 0.5000